1.
A plane-wave DFT calculation with PBE was carried out for a relaxed Zr3TiRu4 crystal.

```
Zr3TiRu4
1.0
3.2285 0.0000 0.0000
0.0000 4.5766 0.0000
0.0000 0.0000 9.1411
Zr Ti Ru
3 1 4
Cartesian
0.0000 0.0000 0.0000
0.0000 2.2883 2.3417
0.0000 2.2883 6.7995
0.0000 0.0000 4.5706
1.6143 0.0000 2.3772
1.6143 0.0000 6.7640
1.6143 2.2883 0.0000
1.6143 2.2883 4.5706
```

Values from the calculation:
For the magnetic moment, the calculation gives 0.000 μB per atom. The formation energy comes out at -0.64 eV/atom.

=====

2.
A plane-wave DFT calculation with PBE was carried out for a relaxed MgTlReF2 crystal.

```
MgTlReF2
1.0
4.5329 0.0000 0.0000
0.0000 4.5329 0.0000
0.0000 0.0000 5.6942
Mg Tl Re F
1 1 1 2
Cartesian
0.0000 0.0000 0.0000
2.2664 2.2664 2.8471
2.2664 2.2664 0.0000
0.0000 2.2664 2.8471
2.2664 0.0000 2.8471
```

Values from the calculation:
For the magnetic moment, the calculation gives 0.683 μB per atom. For the total energy, the calculation gives -3.907 eV/atom.

=====

Question: Which formula does entry 1 have?
Answer: Zr3TiRu4

=====

Question: Among the records above, which one has the highest magnetic moment?
Answer: MgTlReF2